Entry 1:
## MnCu2C (PBE)

Data for a geometry-optimized MnCu2C structure.

Calculated values
polymorph energy (0 for the lowest one) = 0.00 eV per formula unit
electronic total energy = -46.06 eV/cell
formation enthalpy at 0 K = 0.889 eV per atom
total magnetization = 5.60 μB per cell

Cell: 9.268 9.268 9.268 Å, 160.41 160.41 27.84°
Atoms (fractional coordinates):
Mn: 0.000 0.000 0.000
Mn: 0.750 0.250 0.500
Cu: 0.131 0.625 0.006
Cu: 0.375 0.381 0.506
Cu: 0.619 0.125 0.994
Cu: 0.875 0.869 0.494
C: 0.250 0.750 0.500
C: 0.500 0.500 0.000

=====

Entry 2:
## Cs2SiI6F (PBE)

Data for a geometry-optimized Cs2SiI6F structure.

Calculated values
electronic total energy = -26.36 eV/cell
E_form (uncorrected) = -806 meV per atom
total magnetization = 0.00 μB per cell

Cell: 8.541 8.541 8.541 Å, 126.43 126.43 79.18°
Atoms (fractional coordinates):
Cs: 0.250 0.750 0.500
Cs: 0.750 0.250 0.500
Si: 0.000 0.000 0.000
I: 0.213 0.213 0.000
I: 0.247 0.247 0.493
I: 0.247 0.753 0.000
I: 0.753 0.247 0.000
I: 0.753 0.753 0.507
I: 0.787 0.787 0.000
F: 0.500 0.500 0.000

=====

Entry 3:
## KNa (PBE)

Data for a geometry-optimized KNa structure.

Calculated values
electronic total energy = -14.32 eV/cell
formation enthalpy at 0 K = 0.015 eV per atom
total magnetization = 0.00 μB per cell

Cell: 7.626 7.626 12.749 Å, 90.00 90.00 120.00°
Atoms (fractional coordinates):
K: 0.000 0.000 0.000
K: 0.000 0.000 0.500
K: 0.333 0.667 0.072
K: 0.333 0.667 0.428
K: 0.667 0.333 0.572
K: 0.667 0.333 0.928
Na: 0.175 0.351 0.750
Na: 0.175 0.825 0.750
Na: 0.351 0.175 0.250
Na: 0.649 0.825 0.750
Na: 0.825 0.175 0.250
Na: 0.825 0.649 0.250